# 1
# TbHoGeF2

An optimized crystal structure of TbHoGeF2 (PBE, OQMD).

```
data_TbHoGeF2
_chemical_formula_sum 'Tb1 Ho1 Ge1 F2'
_space_group_name_H-M_alt 'P 1'
_space_group_IT_number 1
_cell_length_a 3.9919
_cell_length_b 3.9919
_cell_length_c 6.5944
_cell_angle_alpha 90.00
_cell_angle_beta 90.00
_cell_angle_gamma 120.00
loop_
_space_group_symop_operation_xyz
'x,y,z'
loop_
_atom_site_label
_atom_site_type_symbol
_atom_site_fract_x
_atom_site_fract_y
_atom_site_fract_z
_atom_site_occupancy
Ho1 Ho 0.3333 0.6667 0.7464 1
F1 F 0.3333 0.6667 0.0992 1
F2 F 0.6667 0.3333 0.8967 1
Tb1 Tb 0.6667 0.3333 0.2551 1
Ge1 Ge 0.0000 0.0000 0.5026 1
```

Values from the calculation:
Space-group type ... P3m1 (156)
Energy ... -5.979 eV per atom

=====

# 2
# TaBeZnCu

An optimized crystal structure of TaBeZnCu (PBE, OQMD).

```
data_TaBeZnCu
_chemical_formula_sum 'Ta1 Be1 Zn1 Cu1'
_space_group_name_H-M_alt 'P 1'
_space_group_IT_number 1
_cell_length_a 4.2132
_cell_length_b 4.2132
_cell_length_c 4.2132
_cell_angle_alpha 60.00
_cell_angle_beta 60.00
_cell_angle_gamma 60.00
loop_
_space_group_symop_operation_xyz
'x,y,z'
loop_
_atom_site_label
_atom_site_type_symbol
_atom_site_fract_x
_atom_site_fract_y
_atom_site_fract_z
_atom_site_occupancy
Ta1 Ta 0.2500 0.2500 0.2500 1
Cu1 Cu 0.7500 0.7500 0.7500 1
Zn1 Zn 0.0000 0.0000 0.0000 1
Be1 Be 0.5000 0.5000 0.5000 1
```

Values from the calculation:
Space-group type ... F-43m (216)
Polymorph energy (0 for the lowest one) ... 67.5 meV per atom

=====

# 3
# Er3Nb3W2N12

An optimized crystal structure of Er3Nb3W2N12 (PBE, OQMD).

```
data_Er3Nb3W2N12
_chemical_formula_sum 'Er12 Nb12 W8 N48'
_space_group_name_H-M_alt 'P 1'
_space_group_IT_number 1
_cell_length_a 11.0451
_cell_length_b 11.0451
_cell_length_c 11.0451
_cell_angle_alpha 109.47
_cell_angle_beta 109.47
_cell_angle_gamma 109.47
loop_
_space_group_symop_operation_xyz
'x,y,z'
loop_
_atom_site_label
_atom_site_type_symbol
_atom_site_fract_x
_atom_site_fract_y
_atom_site_fract_z
_atom_site_occupancy
N1 N 0.4168 0.8250 0.7984 1
N2 N 0.0266 0.3250 0.9083 1
N3 N 0.1183 0.0266 0.2016 1
N4 N 0.0266 0.2016 0.1183 1
N5 N 0.6183 0.4168 0.0917 1
N6 N 0.0917 0.6183 0.4168 1
N7 N 0.8817 0.9734 0.7984 1
N8 N 0.0832 0.8817 0.4083 1
N9 N 0.1750 0.4734 0.5917 1
N10 N 0.8817 0.4083 0.0832 1
N11 N 0.9168 0.1183 0.5917 1
N12 N 0.5917 0.1750 0.4734 1
N13 N 0.8250 0.5266 0.4083 1
N14 N 0.4734 0.3817 0.2984 1
N15 N 0.7984 0.8817 0.9734 1
N16 N 0.9083 0.0266 0.3250 1
N17 N 0.1183 0.5917 0.9168 1
N18 N 0.5832 0.1750 0.2016 1
N19 N 0.9083 0.3817 0.5832 1
N20 N 0.2016 0.5832 0.1750 1
N21 N 0.5266 0.4083 0.8250 1
N22 N 0.3250 0.9168 0.2984 1
N23 N 0.4168 0.0917 0.6183 1
N24 N 0.3817 0.2984 0.4734 1
N25 N 0.9168 0.2984 0.3250 1
N26 N 0.9734 0.6750 0.0917 1
N27 N 0.2016 0.1183 0.0266 1
N28 N 0.6183 0.7016 0.5266 1
N29 N 0.2984 0.3250 0.9168 1
N30 N 0.0832 0.7016 0.6750 1
N31 N 0.8250 0.7984 0.4168 1
N32 N 0.0917 0.9734 0.6750 1
N33 N 0.2984 0.4734 0.3817 1
N34 N 0.5266 0.6183 0.7016 1
N35 N 0.3250 0.9083 0.0266 1
N36 N 0.6750 0.0832 0.7016 1
N37 N 0.3817 0.5832 0.9083 1
N38 N 0.9734 0.7984 0.8817 1
N39 N 0.5832 0.9083 0.3817 1
N40 N 0.5917 0.9168 0.1183 1
N41 N 0.4734 0.5917 0.1750 1
N42 N 0.6750 0.0917 0.9734 1
N43 N 0.1750 0.2016 0.5832 1
N44 N 0.4083 0.0832 0.8817 1
N45 N 0.4083 0.8250 0.5266 1
N46 N 0.7984 0.4168 0.8250 1
N47 N 0.7016 0.6750 0.0832 1
N48 N 0.7016 0.5266 0.6183 1
Nb1 Nb 0.7500 0.8750 0.1250 1
Nb2 Nb 0.1250 0.8750 0.2500 1
Nb3 Nb 0.3750 0.2500 0.6250 1
Nb4 Nb 0.6250 0.7500 0.3750 1
Nb5 Nb 0.3750 0.6250 0.7500 1
Nb6 Nb 0.7500 0.3750 0.6250 1
Nb7 Nb 0.1250 0.7500 0.8750 1
Nb8 Nb 0.2500 0.1250 0.8750 1
Nb9 Nb 0.2500 0.6250 0.3750 1
Nb10 Nb 0.8750 0.2500 0.1250 1
Nb11 Nb 0.6250 0.3750 0.2500 1
Nb12 Nb 0.8750 0.1250 0.7500 1
W1 W 0.0000 0.0000 0.5000 1
W2 W 0.0000 0.0000 0.0000 1
W3 W 0.0000 0.5000 0.5000 1
W4 W 0.0000 0.5000 0.0000 1
W5 W 0.5000 0.0000 0.0000 1
W6 W 0.5000 0.0000 0.5000 1
W7 W 0.5000 0.5000 0.0000 1
W8 W 0.5000 0.5000 0.5000 1
Er1 Er 0.1250 0.2500 0.3750 1
Er2 Er 0.7500 0.1250 0.3750 1
Er3 Er 0.7500 0.6250 0.8750 1
Er4 Er 0.6250 0.8750 0.7500 1
Er5 Er 0.6250 0.2500 0.8750 1
Er6 Er 0.2500 0.8750 0.6250 1
Er7 Er 0.3750 0.7500 0.1250 1
Er8 Er 0.3750 0.1250 0.2500 1
Er9 Er 0.8750 0.6250 0.2500 1
Er10 Er 0.1250 0.3750 0.7500 1
Er11 Er 0.8750 0.7500 0.6250 1
Er12 Er 0.2500 0.3750 0.1250 1
```

Values from the calculation:
Space-group type ... Ia-3d (230)
Energy ... -9.390 eV per atom

=====

# 4
# Zr2Co2Pt

An optimized crystal structure of Zr2Co2Pt (PBE, OQMD).

```
data_Zr2Co2Pt
_chemical_formula_sum 'Zr4 Co4 Pt2'
_space_group_name_H-M_alt 'P 1'
_space_group_IT_number 1
_cell_length_a 6.7639
_cell_length_b 6.7639
_cell_length_c 3.4794
_cell_angle_alpha 90.00
_cell_angle_beta 90.00
_cell_angle_gamma 90.00
loop_
_space_group_symop_operation_xyz
'x,y,z'
loop_
_atom_site_label
_atom_site_type_symbol
_atom_site_fract_x
_atom_site_fract_y
_atom_site_fract_z
_atom_site_occupancy
Co1 Co 0.1218 0.6218 0.0000 1
Co2 Co 0.6218 0.8782 0.0000 1
Co3 Co 0.3782 0.1218 0.0000 1
Co4 Co 0.8782 0.3782 0.0000 1
Zr1 Zr 0.3203 0.8203 0.5000 1
Zr2 Zr 0.1797 0.3203 0.5000 1
Zr3 Zr 0.8203 0.6797 0.5000 1
Zr4 Zr 0.6797 0.1797 0.5000 1
Pt1 Pt 0.5000 0.5000 0.0000 1
Pt2 Pt 0.0000 0.0000 0.0000 1
```

Values from the calculation:
Space-group type ... P4/mbm (127)
Formation energy from the elements ... -565 meV per atom

=====

# 5
# MgHgSO

An optimized crystal structure of MgHgSO (PBE, OQMD).

```
data_MgHgSO
_chemical_formula_sum 'Mg2 Hg2 S2 O2'
_space_group_name_H-M_alt 'P 1'
_space_group_IT_number 1
_cell_length_a 2.8120
_cell_length_b 5.4863
_cell_length_c 8.6594
_cell_angle_alpha 90.00
_cell_angle_beta 80.66
_cell_angle_gamma 90.00
loop_
_space_group_symop_operation_xyz
'x,y,z'
loop_
_atom_site_label
_atom_site_type_symbol
_atom_site_fract_x
_atom_site_fract_y
_atom_site_fract_z
_atom_site_occupancy
Mg1 Mg 0.4802 0.7500 0.0396 1
Mg2 Mg 0.5198 0.2500 0.9604 1
Hg1 Hg 0.8375 0.2500 0.3250 1
Hg2 Hg 0.1625 0.7500 0.6750 1
O1 O 0.0000 0.0000 0.0000 1
O2 O 0.0000 0.5000 0.0000 1
S1 S 0.1737 0.2500 0.6525 1
S2 S 0.8263 0.7500 0.3475 1
```

Values from the calculation:
Space-group type ... Cmcm (63)
Polymorph energy (0 for the lowest one) ... 194.1 meV per atom

=====

# 6
# MgFeReBi

An optimized crystal structure of MgFeReBi (PBE, OQMD).

```
data_MgFeReBi
_chemical_formula_sum 'Mg1 Fe1 Re1 Bi1'
_space_group_name_H-M_alt 'P 1'
_space_group_IT_number 1
_cell_length_a 4.5690
_cell_length_b 4.5690
_cell_length_c 4.5690
_cell_angle_alpha 60.00
_cell_angle_beta 60.00
_cell_angle_gamma 60.00
loop_
_space_group_symop_operation_xyz
'x,y,z'
loop_
_atom_site_label
_atom_site_type_symbol
_atom_site_fract_x
_atom_site_fract_y
_atom_site_fract_z
_atom_site_occupancy
Fe1 Fe 0.7500 0.7500 0.7500 1
Re1 Re 0.2500 0.2500 0.2500 1
Bi1 Bi 0.0000 0.0000 0.0000 1
Mg1 Mg 0.5000 0.5000 0.5000 1
```

Values from the calculation:
Space-group type ... F-43m (216)
Polymorph energy (0 for the lowest one) ... 0.0 meV per atom

=====

V for the records above, in order: 18.20, 13.22, 12.97, 15.92, 16.48, 16.86 Å³ per atom